A relaxed Sn4S2Br5 crystal. Source: Alexandria, functional GGA-PBE.

Output
ΔE_f (raw): -562 meV per atom

Unit cell a=4.187 b=10.800 c=11.044 alpha=120.37 beta=100.88 gamma=90.00
Element x y z (fractional)
Br1 0.856 0.244 0.710
Sn1 0.341 0.419 0.680
Br2 0.500 0.000 0.000
S1 0.481 0.600 0.962
Br3 0.845 0.637 0.688
Sn2 0.998 0.775 0.996
Sn3 0.002 0.225 0.004
S2 0.519 0.400 0.038
Sn4 0.659 0.581 0.320
Br4 0.144 0.756 0.290
Br5 0.155 0.363 0.312

A relaxed Sn2SBr2 crystal. Source: Alexandria, functional GGA-PBE.

Output
ΔE_f (raw): -586 meV per atom

Unit cell a=6.089 b=7.498 c=9.321 alpha=70.44 beta=70.93 gamma=66.04
Element x y z (fractional)
Br1 0.331 0.785 0.553
Sn1 0.446 0.266 0.841
S1 0.371 0.113 0.146
Br2 0.669 0.215 0.447
Sn2 0.554 0.734 0.159
Sn3 0.183 0.236 0.398
Br3 0.072 0.655 0.201
S2 0.629 0.887 0.854
Sn4 0.817 0.764 0.602
Br4 0.928 0.345 0.799

A relaxed SnS2Br2 crystal. Source: Alexandria, functional GGA-PBE.

Output
ΔE_f (raw): -294 meV per atom

Unit cell a=4.192 b=4.191 c=11.863 alpha=70.55 beta=70.49 gamma=63.85
Element x y z (fractional)
Br1 0.240 0.240 0.159
S1 0.354 0.354 0.523
Br2 0.760 0.760 0.841
Sn1 0.000 0.000 0.000
S2 0.646 0.646 0.477

A relaxed Sn2S2Br crystal. Source: Alexandria, functional GGA-PBE.

Output
ΔE_f (raw): -127 meV per atom

Unit cell a=8.211 b=8.211 c=3.543 alpha=90.00 beta=90.00 gamma=90.00
Element x y z (fractional)
Br1 0.000 0.000 0.000
S1 0.373 0.873 0.000
S2 0.627 0.127 0.000
Sn1 0.844 0.344 0.500
Sn2 0.344 0.156 0.500
S3 0.127 0.373 0.000
S4 0.873 0.627 0.000
Br2 0.500 0.500 0.000
Sn3 0.656 0.844 0.500
Sn4 0.156 0.656 0.500

A relaxed SnS5Br crystal. Source: Alexandria, functional GGA-PBE.

Output
ΔE_f (raw): -107 meV per atom

Unit cell a=11.601 b=6.350 c=10.065 alpha=134.57 beta=153.26 gamma=52.67
Element x y z (fractional)
Sn1 0.783 0.286 0.448
S1 0.275 0.717 0.772
S2 0.287 0.555 0.505
S3 0.282 0.156 0.965
Br1 0.823 0.845 0.686
S4 0.346 0.921 0.618
S5 0.735 0.050 0.067

A relaxed SnS2Br crystal. Source: Alexandria, functional GGA-PBE.

Output
ΔE_f (raw): 553 meV per atom

Unit cell a=12.982 b=12.982 c=12.982 alpha=13.42 beta=13.42 gamma=13.42
Element x y z (fractional)
S1 0.065 0.065 0.065
S2 0.935 0.935 0.935
Br1 0.500 0.500 0.500
Sn1 0.000 0.000 0.000

A relaxed Sn2S2Br crystal. Source: Alexandria, functional GGA-PBE.

Output
ΔE_f (raw): -261 meV per atom

Unit cell a=5.073 b=5.073 c=6.493 alpha=67.00 beta=67.00 gamma=90.00
Element x y z (fractional)
Br1 0.000 0.000 0.000
Sn1 0.250 0.750 0.500
Sn2 0.750 0.250 0.500
S1 0.659 0.659 0.682
S2 0.341 0.341 0.318

A relaxed SnS6Br crystal. Source: Alexandria, functional GGA-PBE.

Output
ΔE_f (raw): 58 meV per atom

Unit cell a=5.638 b=9.733 c=9.733 alpha=60.69 beta=65.73 gamma=114.28
Element x y z (fractional)
S1 0.256 0.621 0.965
S2 0.887 0.541 0.459
Br1 0.000 0.000 0.000
S3 0.744 0.965 0.621
S4 0.113 0.459 0.541
S5 0.744 0.379 0.035
S6 0.256 0.035 0.379
Sn1 0.500 0.000 0.000

A relaxed Sn3S3Br crystal. Source: Alexandria, functional GGA-PBE.

Output
ΔE_f (raw): -344 meV per atom

Unit cell a=8.323 b=8.323 c=8.405 alpha=60.32 beta=60.32 gamma=60.00
Element x y z (fractional)
S1 0.801 0.124 0.677
Br1 0.329 0.329 0.012
S2 0.602 0.199 0.323
Sn1 0.538 0.917 0.294
Sn2 0.083 0.749 0.706
S3 0.398 0.801 0.677
Sn3 0.917 0.251 0.294
Br2 0.671 0.671 0.988
Sn4 0.462 0.083 0.706
S4 0.876 0.602 0.323
Sn5 0.251 0.538 0.294
Sn6 0.749 0.462 0.706
S5 0.124 0.398 0.677
S6 0.199 0.876 0.323

A relaxed Sn6S5Br crystal. Source: Alexandria, functional GGA-PBE.

Output
ΔE_f (raw): -360 meV per atom

Unit cell a=7.095 b=7.289 c=7.500 alpha=60.93 beta=79.75 gamma=68.52
Element x y z (fractional)
S1 0.500 0.169 0.662
Sn1 0.259 0.913 0.642
S2 0.500 0.831 0.338
Sn2 0.739 0.728 0.000
S3 0.000 0.338 0.325
Br1 0.000 0.000 0.000
Sn3 0.259 0.554 0.358
Sn4 0.741 0.087 0.358
Sn5 0.741 0.446 0.642
S4 0.000 0.662 0.675
S5 0.500 0.500 0.000
Sn6 0.261 0.272 0.000

A relaxed Sn2SBr2 crystal. Source: Alexandria, functional GGA-PBE.

Output
ΔE_f (raw): -566 meV per atom

Unit cell a=4.069 b=6.036 c=16.547 alpha=105.57 beta=90.00 gamma=90.00
Element x y z (fractional)
Br1 0.750 0.781 0.564
S1 0.750 0.770 0.931
Br2 0.750 0.526 0.282
Sn1 0.250 0.032 0.908
Br3 0.250 0.219 0.436
Sn2 0.750 0.343 0.596
S2 0.250 0.230 0.069
Br4 0.250 0.474 0.718
Sn3 0.250 0.657 0.404
Sn4 0.750 0.968 0.092

A relaxed Sn2SBr2 crystal. Source: Alexandria, functional GGA-PBE.

Output
ΔE_f (raw): -423 meV per atom

Unit cell a=7.642 b=7.642 c=4.734 alpha=90.00 beta=90.00 gamma=90.00
Element x y z (fractional)
Sn1 0.822 0.678 0.000
Sn2 0.678 0.178 0.000
S1 0.000 0.000 0.000
Br1 0.162 0.662 0.500
Br2 0.338 0.162 0.500
Sn3 0.322 0.822 0.000
Br3 0.662 0.838 0.500
Sn4 0.178 0.322 0.000
S2 0.500 0.500 0.000
Br4 0.838 0.338 0.500